Run one
## FeRh4 (SCAN)

Data for a PBEsol-optimized structure of FeRh4.

Computed properties:
crystal system	trigonal
density of states at the Fermi level	1.108	states/eV per atom
space-group type	No. 166
V	13.04	A^3/atom

Unit cell a=10.8039 b=10.8039 c=10.8039 alpha=14.11 beta=14.11 gamma=14.11
Element x y z (fractional)
Fe 0.0000 0.0000 0.0000
Rh 0.2004 0.2004 0.2004
Rh 0.3972 0.3972 0.3972
Rh 0.6028 0.6028 0.6028
Rh 0.7996 0.7996 0.7996

***

Run two
## FeRh4 (SCAN)

Data for a PBEsol-optimized structure of FeRh4.

Computed properties:
crystal system	tetragonal
density of states at the Fermi level	1.196	states/eV per atom
space-group type	No. 139
V	12.99	A^3/atom

Unit cell a=9.3864 b=9.3864 c=9.3864 alpha=163.72 beta=163.72 gamma=23.10
Element x y z (fractional)
Fe 0.0000 0.0000 0.0000
Rh 0.1992 0.1992 0.0000
Rh 0.4050 0.4050 0.0000
Rh 0.5950 0.5950 0.0000
Rh 0.8008 0.8008 0.0000

***

run two wins, 0.011 eV/atom ahead of the next structure.

***

Run one
## TaFe2Rh (SCAN)

Data for a PBEsol-optimized structure of TaFe2Rh.

Computed properties:
crystal system	tetragonal
density of states at the Fermi level	0.928	states/eV per atom
space-group type	No. 119
V	13.15	A^3/atom

Unit cell a=4.6427 b=4.6427 c=4.6427 alpha=132.98 beta=132.98 gamma=68.68
Element x y z (fractional)
Ta 0.0000 0.0000 0.0000
Fe 0.5000 0.5000 0.0000
Fe 0.7500 0.2500 0.5000
Rh 0.2500 0.7500 0.5000

***

Run two
## TaFe2Rh (SCAN)

Data for a PBEsol-optimized structure of TaFe2Rh.

Computed properties:
crystal system	tetragonal
density of states at the Fermi level	0.716	states/eV per atom
space-group type	No. 123
V	12.75	A^3/atom

Unit cell a=3.7176 b=3.7176 c=3.6912 alpha=90.00 beta=90.00 gamma=90.00
Element x y z (fractional)
Ta 0.0000 0.0000 0.0000
Fe 0.0000 0.5000 0.5000
Fe 0.5000 0.0000 0.5000
Rh 0.5000 0.5000 0.0000

***

run two wins, 0.016 eV/atom ahead of the next structure.

***

Run one
## FeTc2Rh (SCAN)

Data for a PBEsol-optimized structure of FeTc2Rh.

Computed properties:
crystal system	tetragonal
density of states at the Fermi level	0.915	states/eV per atom
space-group type	No. 119
V	12.95	A^3/atom

Unit cell a=4.5370 b=4.5370 c=4.5370 alpha=131.16 beta=131.16 gamma=71.56
Element x y z (fractional)
Fe 0.0000 0.0000 0.0000
Tc 0.2500 0.7500 0.5000
Tc 0.5000 0.5000 0.0000
Rh 0.7500 0.2500 0.5000

***

Run two
## FeTc2Rh (SCAN)

Data for a PBEsol-optimized structure of FeTc2Rh.

Computed properties:
crystal system	orthorhombic
density of states at the Fermi level	0.775	states/eV per atom
space-group type	No. 65
V	12.88	A^3/atom

Unit cell a=4.5880 b=4.5880 c=2.6175 alpha=90.00 beta=90.00 gamma=110.77
Element x y z (fractional)
Fe 0.0000 0.0000 0.0000
Tc 0.0000 0.5000 0.5000
Tc 0.5000 0.0000 0.5000
Rh 0.5000 0.5000 0.0000

***

Run three
## FeTc2Rh (SCAN)

Data for a PBEsol-optimized structure of FeTc2Rh.

Computed properties:
crystal system	tetragonal
density of states at the Fermi level	1.076	states/eV per atom
space-group type	No. 139
V	12.83	A^3/atom

Unit cell a=4.5780 b=4.5780 c=4.5780 alpha=132.41 beta=132.41 gamma=69.58
Element x y z (fractional)
Fe 0.0000 0.0000 0.0000
Tc 0.2500 0.7500 0.5000
Tc 0.7500 0.2500 0.5000
Rh 0.5000 0.5000 0.0000

***

run one wins, 0.023 eV/atom ahead of the next structure.

***

Run one
## TlFeRh (SCAN)

Data for a PBEsol-optimized structure of TlFeRh.

Computed properties:
crystal system	cubic
density of states at the Fermi level	1.516	states/eV per atom
space-group type	No. 216
V	18.45	A^3/atom

Unit cell a=4.2775 b=4.2775 c=4.2775 alpha=60.00 beta=60.00 gamma=60.00
Element x y z (fractional)
Tl 0.0000 0.0000 0.0000
Fe 0.5000 0.5000 0.5000
Rh 0.2500 0.2500 0.2500

***

Run two
## TlFeRh (SCAN)

Data for a PBEsol-optimized structure of TlFeRh.

Computed properties:
crystal system	tetragonal
density of states at the Fermi level	0.559	states/eV per atom
space-group type	No. 107
V	15.65	A^3/atom

Unit cell a=5.6689 b=5.6689 c=5.6689 alpha=149.45 beta=149.45 gamma=43.75
Element x y z (fractional)
Tl 0.0000 0.0000 0.0000
Fe 0.6810 0.6810 0.0000
Rh 0.3142 0.3142 0.0000

***

Run three
## TlFeRh (SCAN)

Data for a PBEsol-optimized structure of TlFeRh.

Computed properties:
crystal system	trigonal
density of states at the Fermi level	0.592	states/eV per atom
space-group type	No. 156
V	15.76	A^3/atom

Unit cell a=4.3065 b=4.3065 c=2.9436 alpha=90.00 beta=90.00 gamma=120.00
Element x y z (fractional)
Tl 0.0000 0.0000 0.0000
Fe 0.3333 0.6667 0.5872
Rh 0.6667 0.3333 0.4436

***

run two wins, 0.045 eV/atom ahead of the next structure.

***

Run one
## Sr2FeRu (SCAN)

Data for a PBEsol-optimized structure of Sr2FeRu.

Computed properties:
crystal system	cubic
density of states at the Fermi level	0.553	states/eV per atom
space-group type	No. 216
V	21.47	A^3/atom

Unit cell a=4.9523 b=4.9523 c=4.9523 alpha=60.00 beta=60.00 gamma=60.00
Element x y z (fractional)
Sr 0.0000 0.0000 0.0000
Sr 0.2500 0.2500 0.2500
Fe 0.5000 0.5000 0.5000
Ru 0.7500 0.7500 0.7500

***

Run two
## Sr2FeRu (SCAN)

Data for a PBEsol-optimized structure of Sr2FeRu.

Computed properties:
crystal system	tetragonal
density of states at the Fermi level	0.751	states/eV per atom
space-group type	No. 99
V	25.53	A^3/atom

Unit cell a=3.4010 b=3.4010 c=8.8269 alpha=90.00 beta=90.00 gamma=90.00
Element x y z (fractional)
Sr 0.0000 0.0000 0.0000
Sr 0.5000 0.5000 0.4146
Fe 0.0000 0.0000 0.6704
Ru 0.5000 0.5000 0.7456

***

Run three
## Sr2FeRu (SCAN)

Data for a PBEsol-optimized structure of Sr2FeRu.

Computed properties:
crystal system	orthorhombic
density of states at the Fermi level	0.533	states/eV per atom
space-group type	No. 38
V	26.15	A^3/atom

Unit cell a=3.9576 b=6.1217 c=6.1217 alpha=44.84 beta=90.00 gamma=90.00
Element x y z (fractional)
Sr 0.0000 0.0000 0.0000
Sr 0.5000 0.2799 0.2799
Fe 0.0000 0.6898 0.6898
Ru 0.5000 0.5869 0.5869

***

run three wins, 0.025 eV/atom ahead of the next structure.

***

Run one
## SrFeRu2 (SCAN)

Data for a PBEsol-optimized structure of SrFeRu2.

Computed properties:
crystal system	tetragonal
density of states at the Fermi level	0.874	states/eV per atom
space-group type	No. 99
V	17.48	A^3/atom

Unit cell a=3.1100 b=3.1100 c=7.2309 alpha=90.00 beta=90.00 gamma=90.00
Element x y z (fractional)
Sr 0.0000 0.0000 0.0000
Fe 0.5000 0.5000 0.3318
Ru 0.0000 0.0000 0.4874
Ru 0.5000 0.5000 0.6800

***

Run two
## SrFeRu2 (SCAN)

Data for a PBEsol-optimized structure of SrFeRu2.

Computed properties:
crystal system	cubic
density of states at the Fermi level	0.707	states/eV per atom
space-group type	No. 225
V	16.22	A^3/atom

Unit cell a=4.5105 b=4.5105 c=4.5105 alpha=60.00 beta=60.00 gamma=60.00
Element x y z (fractional)
Sr 0.0000 0.0000 0.0000
Fe 0.5000 0.5000 0.5000
Ru 0.2500 0.2500 0.2500
Ru 0.7500 0.7500 0.7500

***

Run three
## SrFeRu2 (SCAN)

Data for a PBEsol-optimized structure of SrFeRu2.

Computed properties:
crystal system	tetragonal
density of states at the Fermi level	1.013	states/eV per atom
space-group type	No. 123
V	16.64	A^3/atom

Unit cell a=2.9893 b=2.9893 c=7.4488 alpha=90.00 beta=90.00 gamma=90.00
Element x y z (fractional)
Sr 0.0000 0.0000 0.0000
Fe 0.0000 0.0000 0.5000
Ru 0.5000 0.5000 0.3215
Ru 0.5000 0.5000 0.6785

***

run three wins, 0.016 eV/atom ahead of the next structure.

***

Run one
## TaFe2Ru (SCAN)

Data for a PBEsol-optimized structure of TaFe2Ru.

Computed properties:
crystal system	tetragonal
density of states at the Fermi level	0.262	states/eV per atom
space-group type	No. 99
V	13.33	A^3/atom

Unit cell a=3.0380 b=3.0380 c=5.7790 alpha=90.00 beta=90.00 gamma=90.00
Element x y z (fractional)
Ta 0.0000 0.0000 0.0000
Fe 0.0000 0.0000 0.4756
Fe 0.5000 0.5000 0.2546
Ru 0.5000 0.5000 0.7340

***

Run two
## TaFe2Ru (SCAN)

Data for a PBEsol-optimized structure of TaFe2Ru.

Computed properties:
crystal system	cubic
density of states at the Fermi level	0.220	states/eV per atom
space-group type	No. 216
V	13.33	A^3/atom

Unit cell a=4.2244 b=4.2244 c=4.2244 alpha=60.00 beta=60.00 gamma=60.00
Element x y z (fractional)
Ta 0.0000 0.0000 0.0000
Fe 0.5000 0.5000 0.5000
Fe 0.7500 0.7500 0.7500
Ru 0.2500 0.2500 0.2500

***

Run three
## TaFe2Ru (SCAN)

Data for a PBEsol-optimized structure of TaFe2Ru.

Computed properties:
crystal system	monoclinic
density of states at the Fermi level	0.682	states/eV per atom
space-group type	No. 10
V	13.38	A^3/atom

Unit cell a=2.6606 b=4.1310 c=4.9970 alpha=90.00 beta=103.05 gamma=90.00
Element x y z (fractional)
Ta 0.0000 0.0000 0.0000
Fe 0.2460 0.5000 0.7422
Fe 0.7540 0.5000 0.2578
Ru 0.5000 0.0000 0.5000

***

Run four
## TaFe2Ru (SCAN)

Data for a PBEsol-optimized structure of TaFe2Ru.

Computed properties:
crystal system	orthorhombic
density of states at the Fermi level	0.258	states/eV per atom
space-group type	No. 47
V	13.30	A^3/atom

Unit cell a=3.1250 b=4.1201 c=4.1326 alpha=90.00 beta=90.00 gamma=90.00
Element x y z (fractional)
Ta 0.0000 0.0000 0.0000
Fe 0.0000 0.5000 0.5000
Fe 0.5000 0.5000 0.0000
Ru 0.5000 0.0000 0.5000

***

run one wins, 0.010 eV/atom ahead of the next structure.

***

Run one
## Tl2FeRu (SCAN)

Data for a PBEsol-optimized structure of Tl2FeRu.

Computed properties:
crystal system	tetragonal
density of states at the Fermi level	0.646	states/eV per atom
space-group type	No. 123
V	16.89	A^3/atom

Unit cell a=4.5837 b=4.5837 c=3.2163 alpha=90.00 beta=90.00 gamma=90.00
Element x y z (fractional)
Tl 0.0000 0.5000 0.0000
Tl 0.5000 0.0000 0.0000
Fe 0.0000 0.0000 0.5000
Ru 0.5000 0.5000 0.5000

***

Run two
## Tl2FeRu (SCAN)

Data for a PBEsol-optimized structure of Tl2FeRu.

Computed properties:
crystal system	monoclinic
density of states at the Fermi level	0.596	states/eV per atom
space-group type	No. 8
V	17.77	A^3/atom

Unit cell a=5.4262 b=5.4262 c=4.6849 alpha=108.09 beta=108.09 gamma=33.00
Element x y z (fractional)
Tl 0.0000 0.0000 0.0000
Tl 0.2152 0.2152 0.6507
Fe 0.4495 0.4495 0.4602
Ru 0.7618 0.7618 0.1849

***

run two wins, 0.151 eV/atom ahead of the next structure.

***

Run one
## FeRu2W (SCAN)

Data for a PBEsol-optimized structure of FeRu2W.

Computed properties:
crystal system	tetragonal
density of states at the Fermi level	1.028	states/eV per atom
space-group type	No. 123
V	13.26	A^3/atom

Unit cell a=2.6956 b=2.6956 c=7.3012 alpha=90.00 beta=90.00 gamma=90.00
Element x y z (fractional)
Fe 0.0000 0.0000 0.0000
Ru 0.5000 0.5000 0.2297
Ru 0.5000 0.5000 0.7703
W 0.0000 0.0000 0.5000

***

Run two
## FeRu2W (SCAN)

Data for a PBEsol-optimized structure of FeRu2W.

Computed properties:
crystal system	tetragonal
density of states at the Fermi level	0.670	states/eV per atom
space-group type	No. 123
V	13.18	A^3/atom

Unit cell a=3.7626 b=3.7626 c=3.7225 alpha=90.00 beta=90.00 gamma=90.00
Element x y z (fractional)
Fe 0.0000 0.0000 0.0000
Ru 0.0000 0.5000 0.5000
Ru 0.5000 0.0000 0.5000
W 0.5000 0.5000 0.0000

***

run two wins, 0.109 eV/atom ahead of the next structure.

***

Run one
## ZnFeRu (SCAN)

Data for a PBEsol-optimized structure of ZnFeRu.

Computed properties:
crystal system	orthorhombic
density of states at the Fermi level	0.720	states/eV per atom
space-group type	No. 42
V	12.77	A^3/atom

Unit cell a=6.7054 b=6.5023 c=2.5692 alpha=83.26 beta=74.37 gamma=22.37
Element x y z (fractional)
Zn 0.0000 0.0000 0.0000
Fe 0.6643 0.6643 0.3357
Ru 0.3253 0.3253 0.6747

***

Run two
## ZnFeRu (SCAN)

Data for a PBEsol-optimized structure of ZnFeRu.

Computed properties:
crystal system	trigonal
density of states at the Fermi level	0.671	states/eV per atom
space-group type	No. 156
V	12.76	A^3/atom

Unit cell a=4.1617 b=4.1617 c=2.5517 alpha=90.00 beta=90.00 gamma=120.00
Element x y z (fractional)
Zn 0.0000 0.0000 0.0000
Fe 0.3333 0.6667 0.3025
Ru 0.6667 0.3333 0.5927

***

run two wins, 0.075 eV/atom ahead of the next structure.

***

Run one
## Zn2FeRu (SCAN)

Data for a PBEsol-optimized structure of Zn2FeRu.

Computed properties:
crystal system	tetragonal
density of states at the Fermi level	0.444	states/eV per atom
space-group type	No. 123
V	12.74	A^3/atom

Unit cell a=3.0670 b=3.0670 c=5.4161 alpha=90.00 beta=90.00 gamma=90.00
Element x y z (fractional)
Zn 0.0000 0.0000 0.2454
Zn 0.0000 0.0000 0.7546
Fe 0.5000 0.5000 0.0000
Ru 0.5000 0.5000 0.5000

***

Run two
## Zn2FeRu (SCAN)

Data for a PBEsol-optimized structure of Zn2FeRu.

Computed properties:
crystal system	tetragonal
density of states at the Fermi level	0.442	states/eV per atom
space-group type	No. 123
V	12.81	A^3/atom

Unit cell a=3.6651 b=3.6651 c=3.8135 alpha=90.00 beta=90.00 gamma=90.00
Element x y z (fractional)
Zn 0.0000 0.5000 0.0000
Zn 0.5000 0.0000 0.0000
Fe 0.0000 0.0000 0.5000
Ru 0.5000 0.5000 0.5000

***

run two wins, 0.104 eV/atom ahead of the next structure.

***

Run one
## Zn2FeRu (SCAN)

Data for a PBEsol-optimized structure of Zn2FeRu.

Computed properties:
crystal system	cubic
density of states at the Fermi level	0.440	states/eV per atom
space-group type	No. 225
V	12.69	A^3/atom

Unit cell a=4.1559 b=4.1559 c=4.1559 alpha=60.00 beta=60.00 gamma=60.00
Element x y z (fractional)
Zn 0.2500 0.2500 0.2500
Zn 0.7500 0.7500 0.7500
Fe 0.0000 0.0000 0.0000
Ru 0.5000 0.5000 0.5000

***

Run two
## Zn2FeRu (SCAN)

Data for a PBEsol-optimized structure of Zn2FeRu.

Computed properties:
crystal system	orthorhombic
density of states at the Fermi level	0.576	states/eV per atom
space-group type	No. 65
V	12.88	A^3/atom

Unit cell a=2.5740 b=2.5740 c=8.4247 alpha=90.00 beta=90.00 gamma=112.59
Element x y z (fractional)
Zn 0.0000 0.0000 0.2432
Zn 0.0000 0.0000 0.7568
Fe 0.5000 0.5000 0.0000
Ru 0.5000 0.5000 0.5000

***

run one wins, 0.051 eV/atom ahead of the next structure.